# 1
SrMg2Tl5: relaxed, GGA-PBE.

Calculated density (Mg/m³): 8.2
Total magnetic moment (μB/cell): 0.00
E_form (kJ/mol of atoms): -8

Unit cell a=8.138 b=8.138 c=14.123 alpha=90.00 beta=90.00 gamma=90.00
Space group I4/mcm (No. 140)
Inequivalent atoms, fractional coordinates:
Sr  0.000  0.000  0.250
Mg  0.146  0.354  0.000
Tl  0.000  0.000  0.000
Tl  0.145  0.355  0.353

# 2
ErBiPd: relaxed, GGA-PBE.

Calculated density (Mg/m³): 11.0
Total magnetic moment (μB/cell): 0.00
E_form (kJ/mol of atoms): -56

Unit cell a=3.502 b=3.502 c=11.885 alpha=90.00 beta=90.00 gamma=90.00
Space group I4mm (No. 107)
Inequivalent atoms, fractional coordinates:
Er  0.000  0.000  0.000
Bi  0.000  0.000  0.292
Pd  0.000  0.000  0.626

# 3
Mg2SnPb: relaxed, GGA-PBE.

Calculated density (Mg/m³): 6.2
Total magnetic moment (μB/cell): 0.00
E_form (kJ/mol of atoms): -8

Unit cell a=4.778 b=4.778 c=4.427 alpha=90.00 beta=90.00 gamma=90.00
Space group P4/mmm (No. 123)
Inequivalent atoms, fractional coordinates:
Mg  0.000  0.500  0.000
Sn  0.000  0.000  0.500
Pb  0.500  0.500  0.500

# 4
SmTmGa4: relaxed, GGA-PBE.

Calculated density (Mg/m³): 8.3
Total magnetic moment (μB/cell): 0.00
E_form (kJ/mol of atoms): -52
Polymorph energy (0 for the lowest one) (meV per atom): 98.1

Unit cell a=7.817 b=7.817 c=7.817 alpha=90.00 beta=90.00 gamma=90.00
Space group F-43m (No. 216)
Inequivalent atoms, fractional coordinates:
Sm  0.000  0.000  0.000
Tm  0.250  0.250  0.250
Ga  0.125  0.125  0.625

# 5
Ce2Si3Pt12Rh: relaxed, GGA-PBE.

Calculated density (Mg/m³): 13.3
Total magnetic moment (μB/cell): 0.00
Total energy (eV per formula unit): -115.81

Unit cell a=8.2068 b=8.2068 c=17.9742 alpha=90.00 beta=90.00 gamma=120.00
Space group R-3m (No. 166, hexagonal axes)
Inequivalent atoms, fractional coordinates:
Ce  0.0000  0.0000  0.1154
Si  0.0000  0.5000  0.0000
Pt  0.0137  0.5069  0.8695
Pt  0.0230  0.5115  0.3707
Rh  0.0000  0.0000  0.5000

# 6
GaSb2PbI: relaxed, GGA-PBE.

Calculated density (Mg/m³): 6.5
Total magnetic moment (μB/cell): 0.00
Polymorph energy (0 for the lowest one) (meV per atom): 0.0

Unit cell a=5.354 b=5.354 c=5.785 alpha=90.00 beta=90.00 gamma=90.00
Space group P4/mmm (No. 123)
Inequivalent atoms, fractional coordinates:
Ga  0.000  0.000  0.000
Sb  0.000  0.500  0.000
Pb  0.500  0.500  0.500
I  0.000  0.000  0.500

# 7
Hf4Fe3Tc: relaxed, GGA-PBE.

Calculated density (Mg/m³): 12.8
Total magnetic moment (μB/cell): 0.00
E_form (kJ/mol of atoms): -35

Unit cell a=3.171 b=3.171 c=12.679 alpha=90.00 beta=90.00 gamma=90.00
Space group P4/mmm (No. 123)
Inequivalent atoms, fractional coordinates:
Hf  0.000  0.000  0.124
Hf  0.000  0.000  0.371
Fe  0.500  0.500  0.000
Fe  0.500  0.500  0.244
Tc  0.500  0.500  0.500

# 8
NiTe2Ru: relaxed, GGA-PBE.

Calculated density (Mg/m³): 9.1
Total magnetic moment (μB/cell): 1.12
Polymorph energy (0 for the lowest one) (meV per atom): 848.7

Unit cell a=6.726 b=6.726 c=6.726 alpha=90.00 beta=90.00 gamma=90.00
Space group F-43m (No. 216)
Inequivalent atoms, fractional coordinates:
Ni  0.000  0.000  0.000
Te  0.000  0.000  0.500
Te  0.250  0.250  0.750
Ru  0.250  0.250  0.250

# 9
Rb4HBr2: relaxed, GGA-PBE.

Calculated density (Mg/m³): 2.8
Total magnetic moment (μB/cell): 0.00
Total energy (eV per formula unit): -17.13

Unit cell a=5.762 b=5.762 c=18.158 alpha=90.00 beta=90.00 gamma=90.00
Space group I4/mmm (No. 139)
Inequivalent atoms, fractional coordinates:
Rb  0.000  0.000  0.188
Rb  0.000  0.500  0.000
H  0.000  0.000  0.000
Br  0.000  0.000  0.381

# 10
LiCoAgCl4: relaxed, GGA-PBE.

Calculated density (Mg/m³): 2.9
Total magnetic moment (μB/cell): 6.00
Total energy (eV per formula unit): -25.45

Unit cell a=5.933 b=5.933 c=10.437 alpha=90.00 beta=90.00 gamma=90.00
Space group I-4 (No. 82)
Inequivalent atoms, fractional coordinates:
Li  0.000  0.000  0.000
Co  0.000  0.500  0.250
Ag  0.000  0.000  0.500
Cl  0.209  0.260  0.130

# 11
HfAsSe: relaxed, GGA-PBE.

Calculated density (Mg/m³): 8.1
Total magnetic moment (μB/cell): 0.00
Total energy (eV per formula unit): -20.34

Unit cell a=6.564 b=7.271 c=7.285 alpha=90.15 beta=116.14 gamma=115.81
Space group P1 (No. 1)
Inequivalent atoms, fractional coordinates:
Hf  0.000  0.000  0.000
Hf  0.049  0.516  0.515
Hf  0.375  0.521  0.045
Hf  0.481  0.018  0.550
As  0.015  0.187  0.694
As  0.482  0.832  0.862
As  0.598  0.345  0.858
As  0.951  0.300  0.151
Se  0.457  0.665  0.435
Se  0.505  0.246  0.274
Se  0.950  0.808  0.317
Se  0.975  0.634  0.841

What did the third record say?
Mg2SnPb: relaxed, GGA-PBE.

Calculated density (Mg/m³): 6.2
Total magnetic moment (μB/cell): 0.00
E_form (kJ/mol of atoms): -8

Unit cell a=4.778 b=4.778 c=4.427 alpha=90.00 beta=90.00 gamma=90.00
Space group P4/mmm (No. 123)
Inequivalent atoms, fractional coordinates:
Mg  0.000  0.500  0.000
Sn  0.000  0.000  0.500
Pb  0.500  0.500  0.500

What is the calculated density in the fifth record?
13.3 Mg/m³

Which formula does entry 5 have?
Ce2Si3Pt12Rh